*i*
A plane-wave DFT calculation with PBE was carried out for Li2CdHg3 after structural relaxation. Values from VASP.

The structure in Quantum ESPRESSO input format:
```
&SYSTEM
  ibrav = 0, nat = 6, ntyp = 3
/
ATOMIC_SPECIES
Li 6.94 Li.upf
Cd 112.41 Cd.upf
Hg 200.59 Hg.upf
CELL_PARAMETERS angstrom
3.498 0.000 0.000
0.000 3.498 0.000
0.000 0.000 9.670
ATOMIC_POSITIONS angstrom
Li 0.000 0.000 0.000
Li 1.749 1.749 4.782
Cd 1.749 1.749 8.078
Hg 0.000 0.000 3.298
Hg 0.000 0.000 6.325
Hg 1.749 1.749 1.412
```

***

*ii*
A plane-wave DFT calculation with PBE was carried out for Li2CdHg3 after structural relaxation. Values from VASP.

The structure in Quantum ESPRESSO input format:
```
&SYSTEM
  ibrav = 0, nat = 6, ntyp = 3
/
ATOMIC_SPECIES
Li 6.94 Li.upf
Cd 112.41 Cd.upf
Hg 200.59 Hg.upf
CELL_PARAMETERS angstrom
3.365 0.000 0.000
0.000 3.365 0.000
0.000 0.000 10.522
ATOMIC_POSITIONS angstrom
Li 0.000 0.000 1.646
Li 0.000 0.000 8.876
Cd 0.000 0.000 5.261
Hg 1.682 1.682 0.000
Hg 1.682 1.682 3.215
Hg 1.682 1.682 7.307
```

***

Most stable = *ii*

***

*i*
A plane-wave DFT calculation with PBE was carried out for LiCdHg after structural relaxation. Values from VASP.

The structure in Quantum ESPRESSO input format:
```
&SYSTEM
  ibrav = 0, nat = 3, ntyp = 3
/
ATOMIC_SPECIES
Li 6.94 Li.upf
Cd 112.41 Cd.upf
Hg 200.59 Hg.upf
CELL_PARAMETERS angstrom
-1.747 1.747 4.735
1.747 -1.747 4.735
1.747 1.747 -4.735
ATOMIC_POSITIONS angstrom
Li 0.000 0.000 0.000
Cd 0.000 0.000 3.192
Hg 0.000 0.000 6.160
```

***

*ii*
A plane-wave DFT calculation with PBE was carried out for LiCdHg after structural relaxation. Values from VASP.

The structure in Quantum ESPRESSO input format:
```
&SYSTEM
  ibrav = 0, nat = 6, ntyp = 3
/
ATOMIC_SPECIES
Li 6.94 Li.upf
Cd 112.41 Cd.upf
Hg 200.59 Hg.upf
CELL_PARAMETERS angstrom
3.464 0.000 0.000
0.000 3.464 0.000
0.000 0.000 9.643
ATOMIC_POSITIONS angstrom
Li 0.000 0.000 0.000
Li 1.732 1.732 4.821
Cd 0.000 0.000 3.311
Cd 0.000 0.000 6.332
Hg 1.732 1.732 1.511
Hg 1.732 1.732 8.132
```

***

Most stable = *i*

***

*i*
A plane-wave DFT calculation with PBE was carried out for LiTlCdHg after structural relaxation. Values from VASP.

The structure in Quantum ESPRESSO input format:
```
&SYSTEM
  ibrav = 0, nat = 4, ntyp = 4
/
ATOMIC_SPECIES
Li 6.94 Li.upf
Tl 204.38 Tl.upf
Cd 112.41 Cd.upf
Hg 200.59 Hg.upf
CELL_PARAMETERS angstrom
0.000 3.571 3.571
3.571 0.000 3.571
3.571 3.571 0.000
ATOMIC_POSITIONS angstrom
Li 0.000 0.000 0.000
Tl 1.786 1.786 1.786
Cd 3.571 3.571 3.571
Hg 5.357 5.357 5.357
```

***

*ii*
A plane-wave DFT calculation with PBE was carried out for LiTlCdHg after structural relaxation. Values from VASP.

The structure in Quantum ESPRESSO input format:
```
&SYSTEM
  ibrav = 0, nat = 4, ntyp = 4
/
ATOMIC_SPECIES
Li 6.94 Li.upf
Tl 204.38 Tl.upf
Cd 112.41 Cd.upf
Hg 200.59 Hg.upf
CELL_PARAMETERS angstrom
0.000 3.590 3.590
3.590 0.000 3.590
3.590 3.590 0.000
ATOMIC_POSITIONS angstrom
Li 0.000 0.000 0.000
Tl 5.385 5.385 5.385
Cd 1.795 1.795 1.795
Hg 3.590 3.590 3.590
```

***

Most stable = *i*